(1)
! TbNdMgAu PBE relaxed; values from VASP
&SYSTEM
  ibrav = 0, nat = 16, ntyp = 4
/
ATOMIC_SPECIES
Tb 158.93 Tb.upf
Nd 144.24 Nd.upf
Mg 24.30 Mg.upf
Au 196.97 Au.upf
ATOMIC_POSITIONS crystal
Tb 0.0000 0.0000 0.0000
Tb 0.0000 0.5000 0.5000
Tb 0.5000 0.0000 0.5000
Tb 0.5000 0.5000 0.0000
Nd 0.0000 0.0000 0.5000
Nd 0.0000 0.5000 0.0000
Nd 0.5000 0.0000 0.0000
Nd 0.5000 0.5000 0.5000
Mg 0.2500 0.2500 0.7500
Mg 0.2500 0.7500 0.2500
Mg 0.7500 0.2500 0.2500
Mg 0.7500 0.7500 0.7500
Au 0.2500 0.2500 0.2500
Au 0.2500 0.7500 0.7500
Au 0.7500 0.2500 0.7500
Au 0.7500 0.7500 0.2500
CELL_PARAMETERS angstrom
7.4800 0.0000 0.0000
0.0000 7.4800 0.0000
0.0000 0.0000 7.4800
! - polymorph energy (0 for the lowest one) (kcal/mol of atoms) = 1.64
! - calculated volume (Å³/atom) = 26.16


(2)
! Tb2NdMgAu4 PBE relaxed; values from VASP
&SYSTEM
  ibrav = 0, nat = 8, ntyp = 4
/
ATOMIC_SPECIES
Tb 158.93 Tb.upf
Nd 144.24 Nd.upf
Mg 24.30 Mg.upf
Au 196.97 Au.upf
ATOMIC_POSITIONS crystal
Tb 0.2427 0.2427 0.2427
Tb 0.7573 0.7573 0.7573
Nd 0.0000 0.0000 0.0000
Mg 0.5000 0.5000 0.5000
Au 0.1231 0.1231 0.1231
Au 0.3840 0.3840 0.3840
Au 0.6160 0.6160 0.6160
Au 0.8769 0.8769 0.8769
CELL_PARAMETERS angstrom
2.5191 1.4544 8.3853
-2.5191 1.4544 8.3853
0.0000 -2.9088 8.3853
! - calculated volume (Å³/atom) = 23.04


(3)
! NdMgTlAu PBE relaxed; values from VASP
&SYSTEM
  ibrav = 0, nat = 16, ntyp = 4
/
ATOMIC_SPECIES
Nd 144.24 Nd.upf
Mg 24.30 Mg.upf
Tl 204.38 Tl.upf
Au 196.97 Au.upf
ATOMIC_POSITIONS crystal
Nd 0.0000 0.0000 0.0000
Nd 0.0000 0.5000 0.5000
Nd 0.5000 0.0000 0.5000
Nd 0.5000 0.5000 0.0000
Mg 0.0000 0.0000 0.5000
Mg 0.0000 0.5000 0.0000
Mg 0.5000 0.0000 0.0000
Mg 0.5000 0.5000 0.5000
Tl 0.2500 0.2500 0.2500
Tl 0.2500 0.7500 0.7500
Tl 0.7500 0.2500 0.7500
Tl 0.7500 0.7500 0.2500
Au 0.2500 0.2500 0.7500
Au 0.2500 0.7500 0.2500
Au 0.7500 0.2500 0.2500
Au 0.7500 0.7500 0.7500
CELL_PARAMETERS angstrom
7.2825 0.0000 0.0000
0.0000 7.2825 0.0000
0.0000 0.0000 7.2825
! - calculated volume (Å³/atom) = 24.14


(4)
! NdTmMgAu PBE relaxed; values from VASP
&SYSTEM
  ibrav = 0, nat = 16, ntyp = 4
/
ATOMIC_SPECIES
Nd 144.24 Nd.upf
Tm 168.93 Tm.upf
Mg 24.30 Mg.upf
Au 196.97 Au.upf
ATOMIC_POSITIONS crystal
Nd 0.0000 0.0000 0.0000
Nd 0.0000 0.5000 0.5000
Nd 0.5000 0.0000 0.5000
Nd 0.5000 0.5000 0.0000
Tm 0.0000 0.0000 0.5000
Tm 0.0000 0.5000 0.0000
Tm 0.5000 0.0000 0.0000
Tm 0.5000 0.5000 0.5000
Mg 0.2500 0.2500 0.7500
Mg 0.2500 0.7500 0.2500
Mg 0.7500 0.2500 0.2500
Mg 0.7500 0.7500 0.7500
Au 0.2500 0.2500 0.2500
Au 0.2500 0.7500 0.7500
Au 0.7500 0.2500 0.7500
Au 0.7500 0.7500 0.2500
CELL_PARAMETERS angstrom
7.4233 0.0000 0.0000
0.0000 7.4233 0.0000
0.0000 0.0000 7.4233
! - calculated volume (Å³/atom) = 25.57


no.,calculated formation energy (kJ/mol of formula units),E_tot (eV per atom),density (g/cm3)
1,-146,-3.947,8.3
2,-597,-4.365,11.5
3,-193,-3.501,9.8
4,-148,-3.911,8.7